The following is a GGA-PBE calculation of crystalline Ac16Ni5Ir3 at its relaxed geometry, from Alexandria.

Calculated values
The formation energy comes out at -313 meV per atom. The calculation puts the final energy at -5.364 eV/atom. As for the crystal system: monoclinic.

Lattice parameters (Å, degrees): 8.590 8.590 13.889 90.04 90.04 60.23
Atoms (fractional coordinates):
Ac  0.326  0.837  0.405
Ac  0.513  0.513  0.661
Ac  0.667  0.667  0.901
Ac  0.002  0.002  0.670
Ac  0.000  0.000  0.169
Ac  0.837  0.326  0.405
Ac  0.511  0.980  0.660
Ac  0.980  0.511  0.660
Ac  0.163  0.163  0.905
Ac  0.835  0.835  0.404
Ac  0.022  0.487  0.159
Ac  0.487  0.022  0.159
Ac  0.334  0.334  0.401
Ac  0.165  0.672  0.905
Ac  0.490  0.490  0.159
Ac  0.672  0.165  0.905
Ni  0.335  0.833  0.784
Ni  0.665  0.665  0.527
Ni  0.833  0.335  0.784
Ni  0.167  0.167  0.284
Ni  0.331  0.331  0.023
Ir  0.834  0.834  0.785
Ir  0.167  0.665  0.284
Ir  0.665  0.167  0.284